1.
A relaxed structure of NbOF. Source: OQMD via LeMat-Bulk, functional PBE.

Unit cell a=6.423 b=6.423 c=6.423 alpha=32.62 beta=32.62 gamma=32.62
Sites, in units of the cell vectors:
Nb (0.242, 0.242, 0.242)
Nb (0.758, 0.758, 0.758)
O (0.123, 0.123, 0.123)
O (0.877, 0.877, 0.877)
F (0.371, 0.371, 0.371)
F (0.629, 0.629, 0.629)

The uncorrected energy is -7.763 eV per atom. The symmetry is R-3m. As for the spin magnetization: 2.00 μB per formula unit.


2.
A relaxed structure of Rb2NbO3F. Source: OQMD via LeMat-Bulk, functional PBE.

Unit cell a=4.009 b=4.009 c=14.238 alpha=90.00 beta=90.00 gamma=90.00
Sites, in units of the cell vectors:
Rb (0.250, 0.250, 0.092)
Rb (0.250, 0.250, 0.404)
Rb (0.750, 0.750, 0.596)
Rb (0.750, 0.750, 0.908)
Nb (0.250, 0.250, 0.760)
Nb (0.750, 0.750, 0.240)
O (0.250, 0.250, 0.889)
O (0.250, 0.750, 0.255)
O (0.250, 0.750, 0.745)
O (0.750, 0.250, 0.255)
O (0.750, 0.250, 0.745)
O (0.750, 0.750, 0.111)
F (0.250, 0.250, 0.600)
F (0.750, 0.750, 0.400)

The uncorrected energy is -6.580 eV per atom. The symmetry is P4/nmm. As for the spin magnetization: 0.01 μB per formula unit.


3.
A relaxed structure of NbZnO3F. Source: OQMD via LeMat-Bulk, functional PBE.

Unit cell a=3.730 b=6.487 c=6.648 alpha=67.50 beta=88.37 gamma=85.98
Sites, in units of the cell vectors:
Nb (0.245, 0.171, 0.276)
Nb (0.755, 0.829, 0.724)
Zn (0.200, 0.341, 0.698)
Zn (0.800, 0.659, 0.302)
O (0.223, 0.401, 0.388)
O (0.244, 0.321, 0.987)
O (0.250, 0.926, 0.646)
O (0.750, 0.074, 0.354)
O (0.756, 0.679, 0.013)
O (0.777, 0.599, 0.612)
F (0.275, 0.850, 0.247)
F (0.725, 0.150, 0.753)

The uncorrected energy is -6.959 eV per atom. The symmetry is P-1. As for the spin magnetization: 0.00 μB per formula unit.